[1]
A plane-wave DFT calculation with PBE was carried out for a relaxed structure of K3RbAg2Bi2.

```
data_K3RbAg2Bi2
_cell_length_a 6.806
_cell_length_b 6.624
_cell_length_c 6.950
_cell_angle_alpha 90.00
_cell_angle_beta 105.30
_cell_angle_gamma 90.00
_symmetry_space_group_name_H-M 'P 1 m 1'
_symmetry_Int_Tables_number 6
loop_
_symmetry_equiv_pos_as_xyz
'x,y,z'
'x,-y,z'
loop_
_atom_site_label
_atom_site_fract_x
_atom_site_fract_y
_atom_site_fract_z
K1 0.000 0.000 0.000
K2 0.314 0.500 0.325
K3 0.663 0.500 0.986
Rb1 0.347 0.000 0.657
Ag1 0.825 0.253 0.493
Bi1 0.098 0.500 0.769
Bi2 0.564 0.000 0.215
```

Calculated values
- Electronic total energy: -20.71 eV for the cell shown

=====

[2]
A plane-wave DFT calculation with PBE was carried out for a relaxed structure of Cd6OsO8.

```
data_Cd6OsO8
_cell_length_a 9.416
_cell_length_b 9.416
_cell_length_c 9.416
_cell_angle_alpha 90.00
_cell_angle_beta 90.00
_cell_angle_gamma 90.00
_symmetry_space_group_name_H-M 'F m -3 m'
_symmetry_Int_Tables_number 225
_symmetry_space_group_name_Hall '-F 4 2 3'
loop_
_atom_site_label
_atom_site_fract_x
_atom_site_fract_y
_atom_site_fract_z
Cd1 0.000 0.250 0.250
Os1 0.000 0.000 0.000
O1 0.000 0.000 0.214
O2 0.250 0.250 0.250
```

Calculated values
- Electronic total energy: -283.27 eV for the cell shown

=====

[3]
A plane-wave DFT calculation with PBE was carried out for a relaxed structure of RbBaTbTe3.

```
data_RbBaTbTe3
_cell_length_a 14.073
_cell_length_b 4.643
_cell_length_c 15.055
_cell_angle_alpha 90.00
_cell_angle_beta 90.00
_cell_angle_gamma 90.00
_symmetry_space_group_name_H-M 'P n m a'
_symmetry_Int_Tables_number 62
loop_
_symmetry_equiv_pos_as_xyz
'x,y,z'
'-x,-y,-z'
'-x+1/2,-y,z+1/2'
'x+1/2,y,-z+1/2'
'x+1/2,-y+1/2,-z+1/2'
'-x+1/2,y+1/2,z+1/2'
'-x,y+1/2,-z'
'x,-y+1/2,z'
loop_
_atom_site_label
_atom_site_fract_x
_atom_site_fract_y
_atom_site_fract_z
Rb1 0.121 0.250 0.072
Ba1 0.129 0.250 0.419
Tb1 0.102 0.250 0.743
Te1 0.110 0.750 0.255
Te2 0.121 0.750 0.599
Te3 0.130 0.750 0.877
```

Calculated values
- Electronic total energy: -102.42 eV for the cell shown

=====

[4]
A plane-wave DFT calculation with PBE was carried out for a relaxed structure of RbGdAgTe3.

```
data_RbGdAgTe3
_cell_length_a 4.333
_cell_length_b 16.975
_cell_length_c 11.419
_cell_angle_alpha 90.00
_cell_angle_beta 90.00
_cell_angle_gamma 90.00
_symmetry_space_group_name_H-M 'C m c m'
_symmetry_Int_Tables_number 63
_symmetry_space_group_name_Hall '-C 2c 2'
loop_
_atom_site_label
_atom_site_fract_x
_atom_site_fract_y
_atom_site_fract_z
Rb1 0.000 0.247 0.250
Gd1 0.000 0.000 0.000
Ag1 0.000 0.466 0.750
Te1 0.000 0.074 0.750
Te2 0.000 0.373 0.550
```

Calculated values
- Electronic total energy: -93.57 eV for the cell shown